Entry 1:
A geometry-optimized HoUCo3 structure. Source: Alexandria via LeMat-Bulk, functional PBE-GGA.

Calculated values
**Total moment**: 0.0 μB/f.u.
**Formation energy**: -52 kJ/mol of formula units

Geometry as CIF:
```
data_HoUCo3
_chemical_formula_sum 'Ho4 U4 Co12'
_space_group_name_H-M_alt 'I m m a'
_space_group_IT_number 74
_space_group_name_Hall '-I 2b 2'
_cell_length_a 5.482
_cell_length_b 7.451
_cell_length_c 8.196
_cell_angle_alpha 90.00
_cell_angle_beta 90.00
_cell_angle_gamma 90.00
loop_
_atom_site_label
_atom_site_type_symbol
_atom_site_fract_x
_atom_site_fract_y
_atom_site_fract_z
_atom_site_occupancy
Ho1 Ho 0.000 0.250 0.017 1
U1 U 0.000 0.000 0.500 1
Co1 Co 0.000 0.250 0.676 1
Co2 Co 0.250 0.024 0.250 1
```

=====

Entry 2:
A geometry-optimized Hf2MgMn structure. Source: Alexandria via LeMat-Bulk, functional PBE-GGA.

Calculated values
**Total moment**: 0.3 μB/f.u.
**Formation energy**: 57 kJ/mol of formula units

Geometry as CIF:
```
data_Hf2MgMn
_chemical_formula_sum 'Hf2 Mg1 Mn1'
_space_group_name_H-M_alt 'P 4/m m m'
_space_group_IT_number 123
_space_group_name_Hall '-P 4 2'
_cell_length_a 4.605
_cell_length_b 4.605
_cell_length_c 3.400
_cell_angle_alpha 90.00
_cell_angle_beta 90.00
_cell_angle_gamma 90.00
loop_
_atom_site_label
_atom_site_type_symbol
_atom_site_fract_x
_atom_site_fract_y
_atom_site_fract_z
_atom_site_occupancy
Hf1 Hf 0.000 0.500 0.000 1
Mg1 Mg 0.000 0.000 0.500 1
Mn1 Mn 0.500 0.500 0.500 1
```